1.
Crystalline FeSiCl2 at its relaxed geometry, computed with PBE.

Values from the calculation:
Total DFT energy (no corrections)   -4.496 eV per atom
SG   C2/m (12)
Formation energy from raw total energies   -0.101 eV/atom
Relative energy among the computed polymorphs   233 meV per atom

a = 7.452 Å, b = 7.452 Å, c = 3.938 Å
α = 95.70°, β = 95.70°, γ = 23.61°
Fractional coordinates of all 4 atoms:
Fe 0.000 0.000 0.000
Si 0.500 0.500 0.500
Cl 0.365 0.365 0.796
Cl 0.635 0.635 0.204

=====

2.
Crystalline FeSiCl2 at its relaxed geometry, computed with PBE.

Values from the calculation:
Total DFT energy (no corrections)   -4.466 eV per atom
SG   Cmm2 (35)
Formation energy from raw total energies   -0.071 eV/atom
Relative energy among the computed polymorphs   263 meV per atom

a = 3.412 Å, b = 3.412 Å, c = 9.042 Å
α = 90.00°, β = 90.00°, γ = 126.30°
Fractional coordinates of all 4 atoms:
Fe 0.000 0.000 0.000
Si 0.500 0.500 0.201
Cl 0.000 0.000 0.404
Cl 0.500 0.500 0.814

=====

3.
Crystalline FeSiCl at its relaxed geometry, computed with PBE.

Values from the calculation:
Total DFT energy (no corrections)   -5.401 eV per atom
SG   P-1 (2)
Formation energy from raw total energies   -0.157 eV/atom
Relative energy among the computed polymorphs   195 meV per atom

a = 3.208 Å, b = 3.939 Å, c = 8.857 Å
α = 95.70°, β = 94.85°, γ = 110.40°
Fractional coordinates of all 6 atoms:
Fe 0.117 0.189 0.141
Fe 0.883 0.811 0.859
Si 0.375 0.737 0.054
Si 0.625 0.263 0.946
Cl 0.084 0.708 0.314
Cl 0.916 0.292 0.686

=====

4.
Crystalline FeSiCl at its relaxed geometry, computed with PBE.

Values from the calculation:
Total DFT energy (no corrections)   -5.024 eV per atom
SG   Fmm2 (42)
Formation energy from raw total energies   0.220 eV/atom
Relative energy among the computed polymorphs   572 meV per atom

a = 7.410 Å, b = 7.373 Å, c = 2.829 Å
α = 79.71°, β = 78.22°, γ = 22.07°
Fractional coordinates of all 3 atoms:
Fe 0.000 0.000 0.000
Si 0.376 0.376 0.624
Cl 0.605 0.605 0.395

=====

5.
Crystalline FeSiCl at its relaxed geometry, computed with PBE.

Values from the calculation:
Total DFT energy (no corrections)   -4.412 eV per atom
SG   F-43m (216)
Formation energy from raw total energies   0.832 eV/atom
Relative energy among the computed polymorphs   1184 meV per atom

a = 4.382 Å, b = 4.382 Å, c = 4.382 Å
α = 60.00°, β = 60.00°, γ = 60.00°
Fractional coordinates of all 3 atoms:
Fe 0.000 0.000 0.000
Si 0.250 0.250 0.250
Cl 0.500 0.500 0.500

=====

6.
Crystalline FeSiCl at its relaxed geometry, computed with PBE.

Values from the calculation:
Total DFT energy (no corrections)   -5.466 eV per atom
SG   P1 (1)
Formation energy from raw total energies   -0.222 eV/atom
Relative energy among the computed polymorphs   130 meV per atom

a = 3.730 Å, b = 3.773 Å, c = 8.884 Å
α = 83.01°, β = 80.91°, γ = 63.03°
Fractional coordinates of all 6 atoms:
Fe 0.000 0.000 0.000
Fe 0.391 0.347 0.800
Si 0.305 0.342 0.066
Si 0.685 0.686 0.898
Cl 0.674 0.086 0.255
Cl 0.952 0.362 0.623

=====

7.
Crystalline FeSiCl2 at its relaxed geometry, computed with PBE.

Values from the calculation:
Total DFT energy (no corrections)   -4.360 eV per atom
SG   R-3m (166)
Formation energy from raw total energies   0.035 eV/atom
Relative energy among the computed polymorphs   369 meV per atom

a = 10.028 Å, b = 10.028 Å, c = 10.028 Å
α = 18.42°, β = 18.42°, γ = 18.42°
Fractional coordinates of all 4 atoms:
Fe 0.000 0.000 0.000
Si 0.500 0.500 0.500
Cl 0.281 0.281 0.281
Cl 0.719 0.719 0.719

=====

8.
Crystalline FeSiCl2 at its relaxed geometry, computed with PBE.

Values from the calculation:
Total DFT energy (no corrections)   -4.000 eV per atom
SG   I-42d (122)
Formation energy from raw total energies   0.395 eV/atom
Relative energy among the computed polymorphs   729 meV per atom

a = 6.574 Å, b = 6.574 Å, c = 6.574 Å
α = 122.26°, β = 122.26°, γ = 86.13°
Fractional coordinates of all 8 atoms:
Fe 0.000 0.000 0.000
Fe 0.750 0.250 0.500
Si 0.250 0.750 0.500
Si 0.500 0.500 0.000
Cl 0.056 0.625 0.931
Cl 0.375 0.306 0.431
Cl 0.694 0.125 0.069
Cl 0.875 0.944 0.569